No. 1
VASP calculation (PBE-GGA) on a relaxed CsInS crystal.

Cell and atoms, written as POSCAR:
```
CsInS
1.0
-1.8964 3.1720 -1.7428
-5.3187 -4.2525 -1.8220
-9.3273 -0.5769 4.4960
Cs In S
2 2 2
Direct
0.8561 0.1118 0.5794
0.5036 0.8809 0.2756
0.2239 0.3782 0.8384
0.1362 0.6149 0.0167
0.8274 0.5678 0.6288
0.5327 0.4246 0.2264
```

Summary:
E_form (uncorrected) ... -741 meV per atom
Total energy ... -3.31 eV/atom
Energy above the most stable polymorph in this dataset ... 0 meV per atom
Magnetization ... 0.0 Bohr magnetons per cell

No. 2
VASP calculation (PBE-GGA) on a relaxed CsInS2 crystal.

Cell and atoms, written as POSCAR:
```
CsInS2
1.0
-0.1628 -1.5003 3.7355
0.1879 -3.7376 -1.4932
7.4556 2.8302 -0.7120
Cs S In
1 2 1
Direct
0.2214 0.8817 0.2282
0.5725 0.2321 0.9306
0.8700 0.5300 0.5257
0.4713 0.6308 0.7282
```

Summary:
E_form (uncorrected) ... -900 meV per atom
Total energy ... -3.86 eV/atom
Magnetization ... 0.0 Bohr magnetons per cell

No. 3
VASP calculation (PBE-GGA) on a relaxed CsIn3S crystal.

Cell and atoms, written as POSCAR:
```
CsIn3S
1.0
-1.0739 -3.1991 -4.7789
-3.6886 -3.3465 3.0691
-4.4120 3.5765 -1.4027
Cs In S
1 3 1
Direct
0.5000 0.5000 0.5000
0.0000 0.0000 0.5000
0.0000 0.5000 0.0000
0.5000 0.0000 0.0000
0.0000 0.0000 0.0000
```

Summary:
E_form (uncorrected) ... 76 meV per atom
Total energy ... -2.56 eV/atom
Energy above the most stable polymorph in this dataset ... 0 meV per atom
Magnetization ... 0.0 Bohr magnetons per cell

No. 4
VASP calculation (PBE-GGA) on a relaxed Cs2In2S3 crystal.

Cell and atoms, written as POSCAR:
```
Cs2In2S3
1.0
4.3789 0.0000 0.0000
0.0000 8.9078 -0.1530
-2.1894 -4.2032 6.4168
S In Cs
3 2 2
Direct
0.1711 0.5695 0.3422
0.8289 0.4305 0.6578
0.0000 0.0000 0.0000
0.1952 0.2938 0.3905
0.8048 0.7062 0.6095
0.5579 0.7706 0.1157
0.4421 0.2294 0.8843
```

Summary:
E_form (uncorrected) ... -765 meV per atom
Total energy ... -3.56 eV/atom
Magnetization ... 0.0 Bohr magnetons per cell

No. 5
VASP calculation (PBE-GGA) on a relaxed CsInS6 crystal.

Cell and atoms, written as POSCAR:
```
CsInS6
1.0
-8.7592 -2.1248 -4.3771
3.7572 2.8801 -2.0549
14.9722 -3.9871 8.7317
S Cs In
6 1 1
Direct
0.7496 0.4109 0.0062
0.0910 0.3735 0.5376
0.9090 0.6265 0.4624
0.5140 0.9141 0.8767
0.4860 0.0859 0.1233
0.2504 0.5891 0.9938
0.5000 0.5000 0.5000
0.0000 0.0000 0.0000
```

Summary:
E_form (uncorrected) ... -275 meV per atom
Total energy ... -3.82 eV/atom
Magnetization ... 0.0 Bohr magnetons per cell

No. 6
VASP calculation (PBE-GGA) on a relaxed CsIn2Sb2S6 crystal.

Cell and atoms, written as POSCAR:
```
CsIn2Sb2S6
1.0
-6.5335 2.3668 2.6619
-0.9472 -2.9438 10.7761
1.5836 6.5042 -1.9204
S In Sb Cs
6 2 2 1
Direct
0.6038 0.3104 0.9510
0.0661 0.8679 0.6710
0.3962 0.6896 0.0490
0.9164 0.6889 0.0467
0.0836 0.3111 0.9533
0.9339 0.1321 0.3290
0.0793 0.8421 0.0076
0.9207 0.1579 0.9924
0.1959 0.6099 0.2051
0.8041 0.3901 0.7949
0.5000 0.0000 0.5000
```

Summary:
E_form (uncorrected) ... -454 meV per atom
Total energy ... -4.03 eV/atom
Magnetization ... 0.0 Bohr magnetons per cell

No. 7
VASP calculation (PBE-GGA) on a relaxed CsInSbS3 crystal.

Cell and atoms, written as POSCAR:
```
CsInSbS3
1.0
4.6370 0.0000 0.0000
0.0000 9.0067 0.8253
0.0000 -3.5316 9.6932
S Sb Cs In
6 2 2 2
Direct
0.7500 0.1801 0.5054
0.7500 0.4254 0.1131
0.2500 0.1641 0.8483
0.2500 0.8199 0.4946
0.7500 0.8359 0.1517
0.2500 0.5746 0.8869
0.2500 0.6492 0.1291
0.7500 0.3508 0.8709
0.7500 0.8203 0.7911
0.2500 0.1797 0.2089
0.7500 0.8753 0.4057
0.2500 0.1247 0.5943
```

Summary:
E_form (uncorrected) ... -554 meV per atom
Total energy ... -3.90 eV/atom
Magnetization ... 0.0 Bohr magnetons per cell

No. 8
VASP calculation (PBE-GGA) on a relaxed CsInSiS4 crystal.

Cell and atoms, written as POSCAR:
```
CsInSiS4
1.0
-4.9575 2.3183 2.9348
0.2720 -5.9179 5.1341
7.7095 3.9387 4.1316
S Cs Si In
8 2 2 2
Direct
0.5454 0.2500 0.5038
0.9592 0.5325 0.2890
0.3256 0.7500 0.1246
0.4546 0.7500 0.4962
0.0408 0.4675 0.7110
0.0408 0.0325 0.7110
0.9592 0.9675 0.2890
0.6744 0.2500 0.8754
0.7281 0.7500 0.8913
0.2719 0.2500 0.1087
0.1751 0.7500 0.3017
0.8249 0.2500 0.6983
0.6906 0.7500 0.3306
0.3094 0.2500 0.6694
```

Summary:
E_form (uncorrected) ... -846 meV per atom
Total energy ... -4.49 eV/atom
Magnetization ... 0.0 Bohr magnetons per cell

No. 9
VASP calculation (PBE-GGA) on a relaxed Cs3Sm2InS6 crystal.

Cell and atoms, written as POSCAR:
```
Cs3Sm2InS6
1.0
7.1679 0.0002 -0.0018
-3.5821 6.2087 -0.0018
-1.1977 -2.0739 8.0789
Sm S Cs In
2 6 3 1
Direct
0.3337 0.6663 0.0000
0.6663 0.3337 0.0000
0.7382 0.7382 0.1841
0.3832 0.0608 0.1822
0.9392 0.6168 0.8178
0.2618 0.2618 0.8159
0.0608 0.3832 0.1822
0.6168 0.9392 0.8178
0.1687 0.8313 0.5000
0.5000 0.5000 0.5000
0.8313 0.1687 0.5000
0.0000 0.0000 0.0000
```

Summary:
E_form (uncorrected) ... -1460 meV per atom
Total energy ... -4.75 eV/atom
Magnetization ... 0.0 Bohr magnetons per cell

No. 10
VASP calculation (PBE-GGA) on a relaxed Cs2SmInS4 crystal.

Cell and atoms, written as POSCAR:
```
Cs2SmInS4
1.0
-5.6260 -1.8786 -6.4338
6.5170 0.7857 -5.7867
0.8309 -5.4343 6.7829
Cs In S Sm
4 2 8 2
Direct
0.5000 0.0000 0.0000
0.5000 0.5000 0.0000
0.0000 0.0000 0.5000
0.5000 0.0000 0.5000
0.5000 0.5000 0.5000
0.0000 0.0000 0.0000
0.7681 0.7322 0.9505
0.2319 0.2678 0.0495
0.2327 0.6872 0.4599
0.1872 0.7327 0.9599
0.8128 0.2673 0.0401
0.7678 0.7319 0.5495
0.2322 0.2681 0.4505
0.7673 0.3128 0.5401
0.0000 0.5000 0.5000
0.0000 0.5000 0.0000
```

Summary:
E_form (uncorrected) ... -1186 meV per atom
Total energy ... -4.40 eV/atom
Magnetization ... 0.0 Bohr magnetons per cell

No. 11
VASP calculation (PBE-GGA) on a relaxed CsInSn2S6 crystal.

Cell and atoms, written as POSCAR:
```
CsInSn2S6
1.0
-4.3524 -5.5496 1.4440
6.3720 -7.9476 0.4118
-1.8838 1.0136 9.9679
In S Sn Cs
2 12 4 2
Direct
0.2500 0.2345 0.7655
0.7500 0.7655 0.2345
0.5429 0.5888 0.6964
0.9571 0.3036 0.4112
0.0837 0.6276 0.2161
0.4571 0.4112 0.3036
0.2615 0.9819 0.7814
0.4163 0.7839 0.3724
0.7615 0.7814 0.9819
0.5837 0.2161 0.6276
0.0429 0.6964 0.5888
0.7385 0.0181 0.2186
0.9163 0.3724 0.7839
0.2385 0.2186 0.0181
0.3453 0.7684 0.6135
0.8453 0.6135 0.7684
0.1547 0.3865 0.2316
0.6547 0.2316 0.3865
0.2500 0.8981 0.1019
0.7500 0.1019 0.8981
```

Summary:
E_form (uncorrected) ... -475 meV per atom
Total energy ... -4.11 eV/atom
Magnetization ... 0.0 Bohr magnetons per cell

No. 12
VASP calculation (PBE-GGA) on a relaxed CsInSnS2 crystal.

Cell and atoms, written as POSCAR:
```
CsInSnS2
1.0
5.4314 0.0000 0.0000
0.0000 5.5558 0.0000
0.0000 0.0000 5.4314
S In Cs Sn
2 1 1 1
Direct
0.0000 0.0000 0.5000
0.5000 0.0000 0.0000
0.0000 0.5000 0.0000
0.5000 0.5000 0.5000
0.0000 0.0000 0.0000
```

Summary:
E_form (uncorrected) ... -227 meV per atom
Total energy ... -3.40 eV/atom
Magnetization ... 0.0 Bohr magnetons per cell

No. 13
VASP calculation (PBE-GGA) on a relaxed Cs2TbInS4 crystal.

Cell and atoms, written as POSCAR:
```
Cs2TbInS4
1.0
8.6954 -0.0506 -0.0564
-0.0567 8.6954 -0.0564
-4.2603 -4.2632 6.1723
In Tb Cs S
2 2 4 8
Direct
0.5000 0.5000 0.5000
0.0000 0.0000 0.0000
0.0000 0.5000 0.5000
0.0000 0.5000 0.0000
0.5000 0.5000 0.0000
0.0000 0.0000 0.5000
0.5000 0.0000 0.0000
0.5000 0.0000 0.5000
0.2296 0.2694 0.0477
0.2287 0.6853 0.4568
0.7704 0.7306 0.9523
0.1853 0.7287 0.9568
0.7694 0.7296 0.5477
0.8147 0.2713 0.0432
0.7713 0.3147 0.5432
0.2306 0.2704 0.4523
```

Summary:
E_form (uncorrected) ... -1189 meV per atom
Total energy ... -4.39 eV/atom
Magnetization ... 0.0 Bohr magnetons per cell

No. 14
VASP calculation (PBE-GGA) on a relaxed Cs4Tb3InS8 crystal.

Cell and atoms, written as POSCAR:
```
Cs4Tb3InS8
1.0
8.1957 0.0000 0.0000
0.0000 9.3203 0.7741
-4.0979 -4.0886 5.8048
S Tb Cs In
8 3 4 1
Direct
0.2725 0.3175 0.5450
0.7756 0.3187 0.5511
0.7325 0.6812 0.9569
0.7275 0.6825 0.4550
0.2244 0.6813 0.4489
0.7757 0.3188 0.0431
0.2243 0.6812 0.9569
0.2675 0.3188 0.0431
0.0000 0.5000 0.5000
0.5000 0.5000 0.0000
0.5000 0.5000 0.5000
0.5000 0.0000 0.0000
0.5000 0.0000 0.5000
0.0000 0.0000 0.5000
0.0000 0.0000 0.0000
0.0000 0.5000 0.0000
```

Summary:
E_form (uncorrected) ... -1562 meV per atom
Total energy ... -4.88 eV/atom
Magnetization ... 0.0 Bohr magnetons per cell

No. 15
VASP calculation (PBE-GGA) on a relaxed Cs2InTeS4 crystal.

Cell and atoms, written as POSCAR:
```
Cs2InTeS4
1.0
7.0730 0.2696 0.4130
-2.7699 6.5137 -0.4130
-2.7699 -2.9994 5.7967
Cs Te S In
2 1 4 1
Direct
0.0000 0.0000 0.0000
0.5000 0.7500 0.2500
0.5000 0.2500 0.7500
0.3647 0.8789 0.8090
0.0699 0.1910 0.5557
0.9301 0.4858 0.1211
0.6353 0.4443 0.5142
0.0000 0.5000 0.5000
```

Summary:
E_form (uncorrected) ... -623 meV per atom
Total energy ... -3.63 eV/atom
Magnetization ... 1.1 Bohr magnetons per cell

No. 16
VASP calculation (PBE-GGA) on a relaxed Cs2ThInS4 crystal.

Cell and atoms, written as POSCAR:
```
Cs2ThInS4
1.0
-5.8154 -3.5462 1.2240
-0.0270 -7.8140 -3.2030
2.1551 -6.2882 11.5842
S Cs In Th
8 4 2 2
Direct
0.8546 0.6938 0.6021
0.5995 0.1938 0.1021
0.4516 0.6938 0.3979
0.8954 0.8062 0.8979
0.5433 0.3062 0.6021
0.2984 0.8062 0.1021
0.2067 0.1938 0.8979
0.1505 0.3062 0.3979
0.8184 0.0000 0.3631
0.5684 0.5000 0.8631
0.9316 0.5000 0.1369
0.1816 0.0000 0.6369
0.5000 0.0000 0.0000
0.2500 0.5000 0.5000
0.7500 0.5000 0.5000
0.0000 0.0000 0.0000
```

Summary:
E_form (uncorrected) ... -1117 meV per atom
Total energy ... -4.66 eV/atom
Magnetization ... 0.0 Bohr magnetons per cell

No. 17
VASP calculation (PBE-GGA) on a relaxed Cs2TmInS4 crystal.

Cell and atoms, written as POSCAR:
```
Cs2TmInS4
1.0
8.6417 -0.0451 -0.0233
-0.0512 8.6417 -0.0233
-4.2068 -4.2098 6.0999
S Cs Tm In
8 4 2 2
Direct
0.7718 0.7280 0.5464
0.1833 0.7250 0.9542
0.7750 0.3167 0.5458
0.2250 0.6833 0.4542
0.7720 0.7282 0.9536
0.8167 0.2750 0.0458
0.2280 0.2718 0.0464
0.2282 0.2720 0.4536
0.5000 0.0000 0.5000
0.0000 0.0000 0.5000
0.5000 0.0000 0.0000
0.5000 0.5000 0.0000
0.0000 0.5000 0.5000
0.0000 0.5000 0.0000
0.5000 0.5000 0.5000
0.0000 0.0000 0.0000
```

Summary:
E_form (uncorrected) ... -1181 meV per atom
Total energy ... -4.36 eV/atom
Magnetization ... 0.0 Bohr magnetons per cell

No. 18
VASP calculation (PBE-GGA) on a relaxed CsUInS4 crystal.

Cell and atoms, written as POSCAR:
```
CsUInS4
1.0
8.9303 0.0000 0.0000
-4.4652 7.8381 -0.0067
0.0000 -4.2377 6.9689
Cs U S In
2 2 8 2
Direct
0.8729 0.7458 0.1229
0.1271 0.2542 0.8771
0.5000 0.0000 0.5000
0.5000 0.0000 0.0000
0.3164 0.6329 0.8077
0.3237 0.0210 0.2605
0.3164 0.6329 0.3251
0.6836 0.3671 0.1923
0.6973 0.0210 0.2605
0.6836 0.3671 0.6749
0.6763 0.9790 0.7395
0.3027 0.9790 0.7395
0.5000 0.5000 0.5000
0.0000 0.5000 0.5000
```

Summary:
E_form (uncorrected) ... -995 meV per atom
Total energy ... -5.48 eV/atom
Magnetization ... 0.0 Bohr magnetons per cell

No. 19
VASP calculation (PBE-GGA) on a relaxed Cs3U3InS8 crystal.

Cell and atoms, written as POSCAR:
```
Cs3U3InS8
1.0
8.2713 -0.0005 0.0001
-4.1360 7.1645 -0.0275
-0.0006 -4.7468 8.0689
In U S Cs
1 3 8 3
Direct
0.0000 0.0000 0.5000
0.5000 0.5000 0.5000
0.5000 0.0000 0.5000
0.0000 0.5000 0.5000
0.7654 0.0588 0.3244
0.2346 0.4692 0.6756
0.7654 0.5308 0.3244
0.7268 0.4536 0.6804
0.2346 0.9412 0.6756
0.2933 0.0588 0.3245
0.7067 0.9412 0.6755
0.2732 0.5464 0.3196
0.0000 0.0000 0.0000
0.0000 0.5000 0.0000
0.5000 0.5000 0.0000
```

Summary:
E_form (uncorrected) ... -1249 meV per atom
Total energy ... -6.06 eV/atom
Magnetization ... 6.9 Bohr magnetons per cell

No. 20
VASP calculation (PBE-GGA) on a relaxed Cs2UInS6 crystal.

Cell and atoms, written as POSCAR:
```
Cs2UInS6
1.0
7.3559 0.0000 0.0000
0.0000 7.3563 0.0000
0.0000 0.0000 10.3990
S Cs U In
12 4 2 2
Direct
0.5000 0.2496 0.2552
0.7447 0.0048 0.5000
0.2447 0.5059 0.0000
0.0000 0.7504 0.7552
0.7447 0.4941 0.5000
0.5000 0.2496 0.7448
0.2553 0.0048 0.5000
0.7553 0.9952 0.0000
0.0000 0.7504 0.2448
0.2447 0.9952 0.0000
0.2553 0.4941 0.5000
0.7553 0.5059 0.0000
0.0000 0.2502 0.2500
0.5000 0.7498 0.2500
0.5000 0.7498 0.7500
0.0000 0.2502 0.7500
0.5000 0.2495 0.5000
0.0000 0.7505 0.0000
0.5000 0.2506 0.0000
0.0000 0.7494 0.5000
```

Summary:
E_form (uncorrected) ... -935 meV per atom
Total energy ... -4.98 eV/atom
Magnetization ... 0.0 Bohr magnetons per cell